# DyZrInAu

Crystalline DyZrInAu at its relaxed geometry (PBE, Alexandria via LeMat-Bulk).

Unit cell a=7.1866 b=7.1866 c=7.1866 alpha=90.00 beta=90.00 gamma=90.00
Last column: nearest neighbours and their distance in Å.
Space group F-43m (No. 216)
Symmetry-distinct sites (fractional):
Dy: 0.0000 0.0000 0.0000 [4 per cell]  4 In 3.11, 4 Au 3.11
Zr: 0.0000 0.0000 0.5000 [4 per cell]  4 In 3.11, 4 Au 3.11
In: 0.2500 0.2500 0.7500 [4 per cell]  4 Dy 3.11, 4 Zr 3.11
Au: 0.2500 0.2500 0.2500 [4 per cell]  4 Zr 3.11, 4 Dy 3.11

Computed properties:
Energy relative to the elements (eV/atom): -0.4111
DOS at the Fermi energy (states/eV/f.u.): 2.3
Total moment (μB/cell): 4.0

# KCaRh2

Crystalline KCaRh2 at its relaxed geometry (PBE, Alexandria via LeMat-Bulk).

Unit cell a=4.2876 b=4.2876 c=8.9877 alpha=90.00 beta=90.00 gamma=90.00
Last column: nearest neighbours and their distance in Å.
Space group I4/mmm (No. 139)
Symmetry-distinct sites (fractional):
K: 0.0000 0.0000 0.0000 [2 per cell]  4 Ca 3.03, 8 Rh 3.11
Ca: 0.0000 0.0000 0.5000 [2 per cell]  4 K 3.03, 8 Rh 3.11
Rh: 0.0000 0.5000 0.2500 [4 per cell]  4 Rh 3.03, 4 K 3.11, 4 Ca 3.11

Computed properties:
Energy relative to the elements (eV/atom): 0.4559
E above lowest polymorph (eV/atom): 0.374
DOS at the Fermi energy (states/eV/f.u.): 6.2
Total moment (μB/cell): 0.0

# YScBeCo

Crystalline YScBeCo at its relaxed geometry (PBE, Alexandria via LeMat-Bulk).

Unit cell a=6.5350 b=6.5350 c=6.5350 alpha=90.00 beta=90.00 gamma=90.00
Last column: nearest neighbours and their distance in Å.
Space group F-43m (No. 216)
Symmetry-distinct sites (fractional):
Y: 0.0000 0.0000 0.0000 [4 per cell]  4 Co 2.83, 4 Be 2.83
Sc: 0.0000 0.0000 0.5000 [4 per cell]  4 Co 2.83, 4 Be 2.83
Be: 0.2500 0.2500 0.7500 [4 per cell]  4 Sc 2.83, 4 Y 2.83
Co: 0.2500 0.2500 0.2500 [4 per cell]  4 Sc 2.83, 4 Y 2.83

Computed properties:
Energy relative to the elements (eV/atom): -0.0797
DOS at the Fermi energy (states/eV/f.u.): 2.2
Total moment (μB/cell): 0.0

# NpNb2H

Crystalline NpNb2H at its relaxed geometry (PBE, Alexandria via LeMat-Bulk).

Unit cell a=2.8258 b=2.8258 c=28.7294 alpha=90.00 beta=90.00 gamma=120.00
Last column: nearest neighbours and their distance in Å.
Space group R-3m (No. 166, hexagonal axes)
Symmetry-distinct sites (fractional):
Np: 0.0000 0.0000 0.0000 [3 per cell]  6 Np 2.83
Nb: 0.0000 0.0000 0.4366 [6 per cell]  1 H 1.82
H: 0.0000 0.0000 0.5000 [3 per cell]  2 Nb 1.82

Computed properties:
Electronic total energy (eV/atom): -8.60
DOS at the Fermi energy (states/eV/f.u.): 4.6
Total moment (μB/cell): 9.3